Here is crystalline Zr2PaZn at its relaxed geometry from Alexandria via LeMat-Bulk. Energies are from PBE.

Values from the calculation:
The formation energy is 0.111 eV per atom. The total energy is -6.86 eV/atom. For the energy above the most stable polymorph in this dataset, the calculation gives 0.143 eV/atom.

a = 6.9791 Å, b = 6.9791 Å, c = 6.9791 Å
α = 90.00°, β = 90.00°, γ = 90.00°
Space group Fm-3m (No. 225)
Asymmetric unit:
Zr 0.2500 0.2500 0.2500 (multiplicity 8)
Pa 0.0000 0.0000 0.0000 (multiplicity 4)
Zn 0.0000 0.0000 0.5000 (multiplicity 4)

Here is crystalline ZnAgAs2 at its relaxed geometry from Alexandria via LeMat-Bulk. Energies are from PBE.

Values from the calculation:
The formation energy is 0.092 eV per atom. The total energy is -3.26 eV/atom.

a = 8.5269 Å, b = 2.8765 Å, c = 6.8933 Å
α = 90.00°, β = 92.28°, γ = 90.00°
Space group Cm (No. 8)
Asymmetric unit:
Zn 0.0000 0.0000 0.0000 (multiplicity 2)
Ag 0.1143 0.5000 0.3046 (multiplicity 2)
As 0.2721 0.0000 0.8348 (multiplicity 2)
As 0.3412 0.0000 0.4906 (multiplicity 2)